1.
# PBE-GGA PrSm4Cd, optimized geometry
data_PrSm4Cd
_chemical_formula_sum 'Pr1 Sm4 Cd1'
_cell_length_a 3.6665
_cell_length_b 3.6665
_cell_length_c 14.3732
_cell_angle_alpha 90.00
_cell_angle_beta 90.00
_cell_angle_gamma 90.00
_symmetry_space_group_name_H-M 'P 4/m m m'
_symmetry_Int_Tables_number 123
_symmetry_space_group_name_Hall '-P 4 2'
loop_
_atom_site_label
_atom_site_type_symbol
_atom_site_fract_x
_atom_site_fract_y
_atom_site_fract_z
Pr1 Pr 0.0000 0.0000 0.0000
Sm1 Sm 0.0000 0.0000 0.3560
Sm2 Sm 0.5000 0.5000 0.1808
Cd1 Cd 0.5000 0.5000 0.5000
# Energy relative to the lowest polymorph listed for this composition in eV per atom: 0.0000
# Magnetization in μB per formula unit: 0.0

---

2.
# PBE-GGA GaSn3Pb6, optimized geometry
data_GaSn3Pb6
_chemical_formula_sum 'Ga2 Sn6 Pb12'
_cell_length_a 9.2149
_cell_length_b 6.8169
_cell_length_c 13.0071
_cell_angle_alpha 90.00
_cell_angle_beta 132.66
_cell_angle_gamma 90.00
_symmetry_space_group_name_H-M 'P 1 21/c 1'
_symmetry_Int_Tables_number 14
loop_
_symmetry_equiv_pos_as_xyz
'x,y,z'
'-x,-y,-z'
'-x,y+1/2,-z+1/2'
'x,-y+1/2,z+1/2'
loop_
_atom_site_label
_atom_site_type_symbol
_atom_site_fract_x
_atom_site_fract_y
_atom_site_fract_z
Ga1 Ga 0.0000 0.0000 0.0000
Sn1 Sn 0.2228 0.2424 0.7383
Sn2 Sn 0.5000 0.0000 0.5000
Pb1 Pb 0.0991 0.1155 0.4299
Pb2 Pb 0.2546 0.6006 0.4358
Pb3 Pb 0.3995 0.7168 0.2476
# E_tot in eV/atom: -3.6600
# Magnetization in μB per formula unit: 0.0

---

3.
# PBE-GGA Li5TlCoN2, optimized geometry
data_Li5TlCoN2
_chemical_formula_sum 'Li5 Tl1 Co1 N2'
_cell_length_a 4.1315
_cell_length_b 4.1315
_cell_length_c 7.5334
_cell_angle_alpha 90.00
_cell_angle_beta 90.00
_cell_angle_gamma 90.00
_symmetry_space_group_name_H-M 'P 4/m m m'
_symmetry_Int_Tables_number 123
_symmetry_space_group_name_Hall '-P 4 2'
loop_
_atom_site_label
_atom_site_type_symbol
_atom_site_fract_x
_atom_site_fract_y
_atom_site_fract_z
Li1 Li 0.0000 0.0000 0.0000
Li2 Li 0.0000 0.5000 0.2972
Tl1 Tl 0.5000 0.5000 0.0000
Co1 Co 0.0000 0.0000 0.5000
N1 N 0.0000 0.0000 0.2660
# E_tot in eV/atom: -4.1758
# Magnetization in μB per formula unit: 1.5

---

4.
# PBE-GGA SrLiAc2Te4, optimized geometry
data_SrLiAc2Te4
_chemical_formula_sum 'Sr4 Li4 Ac8 Te16'
_cell_length_a 4.6148
_cell_length_b 15.3922
_cell_length_c 16.4085
_cell_angle_alpha 90.00
_cell_angle_beta 90.00
_cell_angle_gamma 90.00
_symmetry_space_group_name_H-M 'C m c m'
_symmetry_Int_Tables_number 63
_symmetry_space_group_name_Hall '-C 2c 2'
loop_
_atom_site_label
_atom_site_type_symbol
_atom_site_fract_x
_atom_site_fract_y
_atom_site_fract_z
Sr1 Sr 0.0000 0.1160 0.2500
Li1 Li 0.0000 0.1515 0.7500
Ac1 Ac 0.0000 0.3660 0.0612
Te1 Te 0.0000 0.0000 0.0000
Te2 Te 0.0000 0.2794 0.6274
Te3 Te 0.0000 0.4521 0.2500
# E_tot in eV/atom: -4.5018
# Magnetization in μB per formula unit: 0.0

---

5.
# PBE-GGA K3VCl7, optimized geometry
data_K3VCl7
_chemical_formula_sum 'K6 V2 Cl14'
_cell_length_a 9.2928
_cell_length_b 9.8297
_cell_length_c 7.7377
_cell_angle_alpha 90.00
_cell_angle_beta 106.56
_cell_angle_gamma 90.00
_symmetry_space_group_name_H-M 'C 1 m 1'
_symmetry_Int_Tables_number 8
loop_
_symmetry_equiv_pos_as_xyz
'x,y,z'
'x,-y,z'
'x+1/2,y+1/2,z'
'x+1/2,-y+1/2,z'
loop_
_atom_site_label
_atom_site_type_symbol
_atom_site_fract_x
_atom_site_fract_y
_atom_site_fract_z
K1 K 0.0000 0.0000 0.0000
K2 K 0.0237 0.2788 0.5588
V1 V 0.4847 0.0000 0.0506
Cl1 Cl 0.1314 0.3290 0.2115
Cl2 Cl 0.1361 0.5000 0.8543
Cl3 Cl 0.3282 0.1644 0.8718
Cl4 Cl 0.3393 0.0000 0.2606
Cl5 Cl 0.4083 0.5000 0.5919
# E_tot in eV/atom: -3.8506
# Magnetization in μB per formula unit: 1.0

---

6.
# PBE-GGA Pr3CdGa2, optimized geometry
data_Pr3CdGa2
_chemical_formula_sum 'Pr3 Cd1 Ga2'
_cell_length_a 3.6697
_cell_length_b 3.6697
_cell_length_c 11.9891
_cell_angle_alpha 90.00
_cell_angle_beta 90.00
_cell_angle_gamma 90.00
_symmetry_space_group_name_H-M 'P 4/m m m'
_symmetry_Int_Tables_number 123
_symmetry_space_group_name_Hall '-P 4 2'
loop_
_atom_site_label
_atom_site_type_symbol
_atom_site_fract_x
_atom_site_fract_y
_atom_site_fract_z
Pr1 Pr 0.0000 0.0000 0.0000
Pr2 Pr 0.0000 0.0000 0.3198
Cd1 Cd 0.5000 0.5000 0.5000
Ga1 Ga 0.5000 0.5000 0.1646
# Energy relative to the lowest polymorph listed for this composition in eV per atom: 0.0000
# Magnetization in μB per formula unit: 0.0

---

7.
# PBE-GGA Pm3TmTh4S8, optimized geometry
data_Pm3TmTh4S8
_chemical_formula_sum 'Pm9 Tm3 Th12 S24'
_cell_length_a 7.9273
_cell_length_b 7.9273
_cell_length_c 20.1474
_cell_angle_alpha 90.00
_cell_angle_beta 90.00
_cell_angle_gamma 120.00
_symmetry_space_group_name_H-M 'R -3 m'
_symmetry_Int_Tables_number 166
_symmetry_space_group_name_Hall '-R 3 2"'
loop_
_atom_site_label
_atom_site_type_symbol
_atom_site_fract_x
_atom_site_fract_y
_atom_site_fract_z
Pm1 Pm 0.0000 0.5000 0.0000
Tm1 Tm 0.0000 0.0000 0.0000
Th1 Th 0.0000 0.0000 0.5000
Th2 Th 0.0000 0.5000 0.5000
S1 S 0.0000 0.0000 0.2515
S2 S 0.0081 0.5041 0.7466
# E_tot in eV/atom: -7.0040
# Magnetization in μB per formula unit: 0.0

---

8.
# PBE-GGA KReHg2, optimized geometry
data_KReHg2
_chemical_formula_sum 'K3 Re3 Hg6'
_cell_length_a 3.0245
_cell_length_b 3.0245
_cell_length_c 32.2977
_cell_angle_alpha 90.00
_cell_angle_beta 90.00
_cell_angle_gamma 120.00
_symmetry_space_group_name_H-M 'R -3 m'
_symmetry_Int_Tables_number 166
_symmetry_space_group_name_Hall '-R 3 2"'
loop_
_atom_site_label
_atom_site_type_symbol
_atom_site_fract_x
_atom_site_fract_y
_atom_site_fract_z
K1 K 0.0000 0.0000 0.0000
Re1 Re 0.0000 0.0000 0.5000
Hg1 Hg 0.0000 0.0000 0.2411
# Energy relative to the lowest polymorph listed for this composition in eV per atom: 0.0596
# Magnetization in μB per formula unit: 0.0

---

Q: magnetization of number 8 (KReHg2)?
A: 0.0 μB per formula unit

---

Please write out number 2 again, unchanged.
# PBE-GGA GaSn3Pb6, optimized geometry
data_GaSn3Pb6
_chemical_formula_sum 'Ga2 Sn6 Pb12'
_cell_length_a 9.2149
_cell_length_b 6.8169
_cell_length_c 13.0071
_cell_angle_alpha 90.00
_cell_angle_beta 132.66
_cell_angle_gamma 90.00
_symmetry_space_group_name_H-M 'P 1 21/c 1'
_symmetry_Int_Tables_number 14
loop_
_symmetry_equiv_pos_as_xyz
'x,y,z'
'-x,-y,-z'
'-x,y+1/2,-z+1/2'
'x,-y+1/2,z+1/2'
loop_
_atom_site_label
_atom_site_type_symbol
_atom_site_fract_x
_atom_site_fract_y
_atom_site_fract_z
Ga1 Ga 0.0000 0.0000 0.0000
Sn1 Sn 0.2228 0.2424 0.7383
Sn2 Sn 0.5000 0.0000 0.5000
Pb1 Pb 0.0991 0.1155 0.4299
Pb2 Pb 0.2546 0.6006 0.4358
Pb3 Pb 0.3995 0.7168 0.2476
# E_tot in eV/atom: -3.6600
# Magnetization in μB per formula unit: 0.0

---

Q: What is the magnetization in the eighth record?
A: 0.0 μB per formula unit